[1]
# ScP | the Alexandria database | GGA-PBE | relaxed
# **E_form**: -0.25 eV per atom
# **Spin magnetization**: 0.0 Bohr magnetons per cell
# **Theoretical density**: 3.71 g cm⁻³
data_ScP
_space_group_name_H-M_alt 'P 1'
_space_group_IT_number 1
_space_group_name_Hall 'P 1'
_cell_length_a 4.5818
_cell_length_b 4.5818
_cell_length_c 4.5818
_cell_angle_alpha 60.00
_cell_angle_beta 60.00
_cell_angle_gamma 60.00
loop_
_atom_site_label
_atom_site_fract_x
_atom_site_fract_y
_atom_site_fract_z
Sc1 0.2500 0.2500 0.2500
P1 0.7500 0.7500 0.7500
Sc2 0.0000 0.0000 0.0000
P2 0.5000 0.5000 0.5000

[2]
# Sr2MnOs | the Alexandria database | GGA-PBE | relaxed
# **E_form**: 0.47 eV per atom
# **E above lowest polymorph**: 91 kJ/mol of formula units
# **Spin magnetization**: 3.5 Bohr magnetons per cell
# **Theoretical density**: 6.39 g cm⁻³
data_Sr2MnOs
_space_group_name_H-M_alt 'P 1'
_space_group_IT_number 1
_space_group_name_Hall 'P 1'
_cell_length_a 3.4793
_cell_length_b 3.4775
_cell_length_c 9.0275
_cell_angle_alpha 90.00
_cell_angle_beta 90.00
_cell_angle_gamma 90.00
loop_
_atom_site_label
_atom_site_fract_x
_atom_site_fract_y
_atom_site_fract_z
Sr1 0.0000 0.0000 0.9175
Sr2 0.5000 0.5000 0.3303
Mn1 0.0000 0.0000 0.5817
Os1 0.5000 0.5000 0.6705

[3]
# BaMg5 | the Alexandria database | GGA-PBE | relaxed
# **E_form**: 0.04 eV per atom
# **Spin magnetization**: 0.0 Bohr magnetons per cell
# **Theoretical density**: 2.47 g cm⁻³
data_BaMg5
_space_group_name_H-M_alt 'P 1'
_space_group_IT_number 1
_space_group_name_Hall 'P 1'
_cell_length_a 6.1717
_cell_length_b 6.1717
_cell_length_c 8.0488
_cell_angle_alpha 73.03
_cell_angle_beta 73.03
_cell_angle_gamma 36.55
loop_
_atom_site_label
_atom_site_fract_x
_atom_site_fract_y
_atom_site_fract_z
Mg1 0.3479 0.3479 0.7335
Mg2 0.0279 0.0279 0.4446
Mg3 0.3589 0.3589 0.3182
Ba1 0.0277 0.0277 0.9444
Mg4 0.6970 0.6970 0.5704
Mg5 0.7072 0.7072 0.1556